(1)
Material: KTcOs2
Method: DFT, PBE
State: optimized geometry

Structure (CIF):
```
data_KTcOs2
_chemical_formula_sum 'K1 Tc1 Os2'
_space_group_name_H-M_alt 'P 1'
_space_group_IT_number 1
_space_group_name_Hall 'P 1'
_cell_length_a 4.7729
_cell_length_b 4.7729
_cell_length_c 6.9380
_cell_angle_alpha 83.46
_cell_angle_beta 83.46
_cell_angle_gamma 33.81
loop_
_atom_site_label
_atom_site_fract_x
_atom_site_fract_y
_atom_site_fract_z
K1 0.7500 0.7500 0.7500
Os1 0.9723 0.9723 0.1075
Os2 0.5277 0.5277 0.3925
Tc1 0.2500 0.2500 0.2500
```

ΔE to the lowest computed polymorph: 312.5 meV/atom
theoretical density: 9.843 g/cm3
magnetization: 0.000 μB per cell

***

(2)
Material: BaPaAu2
Method: DFT, PBE
State: optimized geometry

Structure (CIF):
```
data_BaPaAu2
_chemical_formula_sum 'Ba1 Pa1 Au2'
_space_group_name_H-M_alt 'P 1'
_space_group_IT_number 1
_space_group_name_Hall 'P 1'
_cell_length_a 4.1565
_cell_length_b 4.1565
_cell_length_c 8.6230
_cell_angle_alpha 76.05
_cell_angle_beta 76.05
_cell_angle_gamma 60.00
loop_
_atom_site_label
_atom_site_fract_x
_atom_site_fract_y
_atom_site_fract_z
Pa1 0.0000 0.0000 0.0000
Au1 0.7347 0.7347 0.7959
Au2 0.2653 0.2653 0.2041
Ba1 0.5000 0.5000 0.5000
```

ΔE to the lowest computed polymorph: 97.0 meV/atom
theoretical density: 10.215 g/cm3
magnetization: 0.289 μB per cell

***

(3)
Material: CoTc2Hg
Method: DFT, PBE
State: optimized geometry

Structure (CIF):
```
data_CoTc2Hg
_chemical_formula_sum 'Co1 Tc2 Hg1'
_space_group_name_H-M_alt 'P 1'
_space_group_IT_number 1
_space_group_name_Hall 'P 1'
_cell_length_a 9.1799
_cell_length_b 9.1799
_cell_length_c 9.1799
_cell_angle_alpha 17.58
_cell_angle_beta 17.58
_cell_angle_gamma 17.58
loop_
_atom_site_label
_atom_site_fract_x
_atom_site_fract_y
_atom_site_fract_z
Co1 0.5058 0.5058 0.5058
Hg1 0.7533 0.7533 0.7533
Tc1 0.9919 0.9919 0.9919
Tc2 0.2489 0.2489 0.2489
```

theoretical density: 12.277 g/cm3
VASP energy: -0.4922 Ry/atom
magnetization: 1.740 μB per cell

***

(4)
Material: PrHf2NpO8
Method: DFT, PBE
State: optimized geometry

Structure (CIF):
```
data_PrHf2NpO8
_chemical_formula_sum 'Pr1 Hf2 Np1 O8'
_space_group_name_H-M_alt 'P 1'
_space_group_IT_number 1
_space_group_name_Hall 'P 1'
_cell_length_a 5.0668
_cell_length_b 5.0692
_cell_length_c 6.7756
_cell_angle_alpha 90.00
_cell_angle_beta 90.00
_cell_angle_gamma 88.92
loop_
_atom_site_label
_atom_site_fract_x
_atom_site_fract_y
_atom_site_fract_z
Pr1 0.0000 0.0000 0.5000
Hf1 0.5000 0.5000 0.7503
Hf2 0.5000 0.5000 0.2497
Np1 0.0000 0.0000 0.0000
O1 0.2067 0.7945 0.2248
O2 0.6892 0.6881 0.0000
O3 0.7932 0.2054 0.2248
O4 0.7933 0.2055 0.7752
O5 0.3108 0.3119 0.0000
O6 0.2068 0.7946 0.7752
O7 0.6742 0.6730 0.5000
O8 0.3258 0.3270 0.5000
```

uncorrected formation energy: -3.2507 eV per atom
theoretical density: 8.235 g/cm3
magnetization: 2.000 μB per cell

***

(5)
Material: MgTlBiSe3
Method: DFT, PBE
State: optimized geometry

Structure (CIF):
```
data_MgTlBiSe3
_chemical_formula_sum 'Mg2 Tl2 Bi2 Se6'
_space_group_name_H-M_alt 'P 1'
_space_group_IT_number 1
_space_group_name_Hall 'P 1'
_cell_length_a 4.3247
_cell_length_b 9.0698
_cell_length_c 9.8688
_cell_angle_alpha 103.50
_cell_angle_beta 90.00
_cell_angle_gamma 90.00
loop_
_atom_site_label
_atom_site_fract_x
_atom_site_fract_y
_atom_site_fract_z
Mg1 0.2500 0.0867 0.6065
Mg2 0.7500 0.9133 0.3935
Tl1 0.7500 0.8059 0.7800
Tl2 0.2500 0.1941 0.2200
Bi1 0.2500 0.6657 0.1331
Bi2 0.7500 0.3343 0.8669
Se1 0.2500 0.7982 0.4720
Se2 0.7500 0.8864 0.1267
Se3 0.7500 0.4402 0.1584
Se4 0.7500 0.2018 0.5280
Se5 0.2500 0.5598 0.8416
Se6 0.2500 0.1136 0.8733
```

uncorrected formation energy: -0.6780 eV per atom
theoretical density: 5.952 g/cm3
magnetization: 0.000 μB per cell

***

(6)
Material: Y3Ho4Tm5
Method: DFT, PBE
State: optimized geometry

Structure (CIF):
```
data_Y3Ho4Tm5
_chemical_formula_sum 'Y3 Ho4 Tm5'
_space_group_name_H-M_alt 'P 1'
_space_group_IT_number 1
_space_group_name_Hall 'P 1'
_cell_length_a 5.8120
_cell_length_b 8.4668
_cell_length_c 9.5318
_cell_angle_alpha 105.61
_cell_angle_beta 72.25
_cell_angle_gamma 69.93
loop_
_atom_site_label
_atom_site_fract_x
_atom_site_fract_y
_atom_site_fract_z
Y1 0.5234 0.6867 0.2665
Y2 0.0000 0.5000 0.5000
Y3 0.4766 0.3133 0.7335
Ho1 0.8604 0.2211 0.0582
Ho2 0.1652 0.0480 0.6217
Ho3 0.8348 0.9520 0.3783
Ho4 0.1396 0.7789 0.9418
Tm1 0.6271 0.9450 0.8009
Tm2 0.5000 0.5000 0.5000
Tm3 0.2132 0.4593 0.1144
Tm4 0.7869 0.5407 0.8856
Tm5 0.3729 0.0550 0.1991
```

ΔE to the lowest computed polymorph: 232.2 meV/atom
theoretical density: 7.715 g/cm3
magnetization: 0.594 μB per cell

***

(7)
Material: NaGaPbC2
Method: DFT, PBE
State: optimized geometry

Structure (CIF):
```
data_NaGaPbC2
_chemical_formula_sum 'Na1 Ga1 Pb1 C2'
_space_group_name_H-M_alt 'P 1'
_space_group_IT_number 1
_space_group_name_Hall 'P 1'
_cell_length_a 4.4872
_cell_length_b 5.3383
_cell_length_c 4.4872
_cell_angle_alpha 90.00
_cell_angle_beta 90.00
_cell_angle_gamma 90.00
loop_
_atom_site_label
_atom_site_fract_x
_atom_site_fract_y
_atom_site_fract_z
Pb1 0.0000 0.5000 0.0000
Na1 0.0000 0.0000 0.0000
C1 0.0000 0.0000 0.5000
C2 0.5000 0.0000 0.0000
Ga1 0.5000 0.5000 0.5000
```

theoretical density: 5.004 g/cm3
VASP energy: -0.2019 Ry/atom
magnetization: 1.110 μB per cell

***

(8)
Material: CaCePtPb
Method: DFT, PBE
State: optimized geometry

Structure (CIF):
```
data_CaCePtPb
_chemical_formula_sum 'Ca1 Ce1 Pt1 Pb1'
_space_group_name_H-M_alt 'P 1'
_space_group_IT_number 1
_space_group_name_Hall 'P 1'
_cell_length_a 3.5530
_cell_length_b 3.5530
_cell_length_c 8.2791
_cell_angle_alpha 90.00
_cell_angle_beta 90.00
_cell_angle_gamma 90.00
loop_
_atom_site_label
_atom_site_fract_x
_atom_site_fract_y
_atom_site_fract_z
Ca1 0.5000 0.5000 0.7890
Ce1 0.5000 0.5000 0.3649
Pt1 0.0000 0.0000 0.5591
Pb1 0.0000 0.0000 0.0717
```

ΔE to the lowest computed polymorph: 0.0 meV/atom
theoretical density: 9.255 g/cm3
magnetization: 0.935 μB per cell

***

(9)
Material: Cr2CoBr
Method: DFT, PBE
State: optimized geometry

Structure (CIF):
```
data_Cr2CoBr
_chemical_formula_sum 'Cr2 Co1 Br1'
_space_group_name_H-M_alt 'P 1'
_space_group_IT_number 1
_space_group_name_Hall 'P 1'
_cell_length_a 3.0998
_cell_length_b 4.2608
_cell_length_c 4.3323
_cell_angle_alpha 90.00
_cell_angle_beta 90.00
_cell_angle_gamma 90.00
loop_
_atom_site_label
_atom_site_fract_x
_atom_site_fract_y
_atom_site_fract_z
Br1 0.5000 0.0000 0.5000
Co1 0.0000 0.5000 0.5000
Cr1 0.0000 0.0000 0.0000
Cr2 0.5000 0.5000 0.0000
```

ΔE to the lowest computed polymorph: 292.0 meV/atom
uncorrected formation energy: 0.7428 eV per atom
theoretical density: 7.047 g/cm3
magnetization: 1.488 μB per cell

***

(10)
Material: FeMoN3
Method: DFT, PBE
State: optimized geometry

Structure (CIF):
```
data_FeMoN3
_chemical_formula_sum 'Fe1 Mo1 N3'
_space_group_name_H-M_alt 'P 1'
_space_group_IT_number 1
_space_group_name_Hall 'P 1'
_cell_length_a 3.9148
_cell_length_b 3.9148
_cell_length_c 3.9148
_cell_angle_alpha 90.00
_cell_angle_beta 90.00
_cell_angle_gamma 90.00
loop_
_atom_site_label
_atom_site_fract_x
_atom_site_fract_y
_atom_site_fract_z
Mo1 0.0000 0.0000 0.0000
Fe1 0.5000 0.5000 0.5000
N1 0.0000 0.5000 0.0000
N2 0.0000 0.0000 0.5000
N3 0.5000 0.0000 0.0000
```

uncorrected formation energy: 0.9294 eV per atom
theoretical density: 5.364 g/cm3
magnetization: 4.082 μB per cell

***

(11)
Material: KGeSb
Method: DFT, PBE
State: optimized geometry

Structure (CIF):
```
data_KGeSb
_chemical_formula_sum 'K3 Ge3 Sb3'
_space_group_name_H-M_alt 'P 1'
_space_group_IT_number 1
_space_group_name_Hall 'P 1'
_cell_length_a 4.1810
_cell_length_b 4.1810
_cell_length_c 19.7321
_cell_angle_alpha 90.00
_cell_angle_beta 90.00
_cell_angle_gamma 120.00
loop_
_atom_site_label
_atom_site_fract_x
_atom_site_fract_y
_atom_site_fract_z
K1 0.0000 0.0000 0.6898
K2 0.3333 0.6667 0.3564
K3 0.6667 0.3333 0.0231
Ge1 0.0000 0.0000 0.2286
Ge2 0.3333 0.6667 0.8953
Ge3 0.6667 0.3333 0.5619
Sb1 0.0000 0.0000 0.4942
Sb2 0.3333 0.6667 0.1608
Sb3 0.6667 0.3333 0.8275
```

uncorrected formation energy: -0.2586 eV per atom
theoretical density: 3.894 g/cm3
magnetization: 0.000 μB per cell

***

(12)
Material: Dy12Zn6Ru
Method: DFT, PBE
State: optimized geometry

Structure (CIF):
```
data_Dy12Zn6Ru
_chemical_formula_sum 'Dy12 Zn6 Ru1'
_space_group_name_H-M_alt 'P 1'
_space_group_IT_number 1
_space_group_name_Hall 'P 1'
_cell_length_a 7.9848
_cell_length_b 7.9848
_cell_length_c 7.9848
_cell_angle_alpha 93.18
_cell_angle_beta 93.18
_cell_angle_gamma 93.18
loop_
_atom_site_label
_atom_site_fract_x
_atom_site_fract_y
_atom_site_fract_z
Dy1 0.8016 0.5667 0.4523
Dy2 0.4523 0.8016 0.5667
Dy3 0.5667 0.4523 0.8016
Dy4 0.1984 0.4333 0.5477
Dy5 0.5477 0.1984 0.4333
Dy6 0.4333 0.5477 0.1984
Dy7 0.9683 0.0971 0.3206
Dy8 0.9029 0.6794 0.0317
Dy9 0.6794 0.0317 0.9029
Dy10 0.0317 0.9029 0.6794
Dy11 0.0971 0.3206 0.9683
Dy12 0.3206 0.9683 0.0971
Zn1 0.6590 0.8607 0.2627
Zn2 0.7373 0.3410 0.1393
Zn3 0.1393 0.7373 0.3410
Zn4 0.3410 0.1393 0.7373
Zn5 0.2627 0.6590 0.8607
Zn6 0.8607 0.2627 0.6590
Ru1 0.0000 0.0000 0.0000
```

theoretical density: 8.009 g/cm3
VASP energy: -0.2880 Ry/atom
magnetization: 0.000 μB per cell

***

Look up the theoretical density of the sixth one.
7.715 g/cm3